CdAg2Hg | PBE-GGA | optimized geometry

The calculation puts the energy above the most stable polymorph in this dataset at 0.007 eV/atom. The calculated density is 10.990 g/cm³. The calculated formation energy comes out at 0.32 kcal/mol of atoms.

It has space group R-3m (No. 166, hexagonal axes), with a = 3.0770 Å, b = 3.0770 Å, c = 29.2300 Å, α = 90.00°, β = 90.00° and γ = 120.00°. Symmetry generates all atoms from Cd at (0.0000, 0.0000, 0.0000), Ag at (0.0000, 0.0000, 0.2511) and Hg at (0.0000, 0.0000, 0.5000).